4
Lattice="-4.340 2.554 1.115 -4.580 -2.255 -0.733 -2.855 -1.415 4.055" Properties=species:S:1:pos:R:3 comment="PBE PmGaAgPb, relaxed" total_magnetization_mub_per_fu=0.000 e_form_ev_per_atom=-0.237 crystal_system=cubic sg="F-43m (216)" pbc="T T T"
Pb -5.888 -0.558 2.219
Ga -8.831 -0.837 3.328
Ag -2.944 -0.279 1.109
Pm 0.000 0.000 0.000